! InPt3 | Alexandria via LeMat-Bulk | PBE | relaxed; values from VASP
! Space-group type: No. 166
! ΔE_f (meV per atom): -94
! Electronic total energy (eV/cell): -21.2
&SYSTEM
  ibrav = 0, nat = 4, ntyp = 2
/
ATOMIC_SPECIES
In 114.82 In.upf
Pt 195.08 Pt.upf
ATOMIC_POSITIONS crystal
In 0.000 0.000 0.000
Pt 0.251 0.251 0.251
Pt 0.500 0.500 0.500
Pt 0.749 0.749 0.749
CELL_PARAMETERS angstrom
-8.589 -0.524 2.908
-8.646 -2.648 0.855
-7.686 -3.255 3.583

***

! InPt2 | Alexandria via LeMat-Bulk | PBE | relaxed; values from VASP
! Space-group type: No. 12
! ΔE_f (meV per atom): -306
! Electronic total energy (eV/cell): -31.5
&SYSTEM
  ibrav = 0, nat = 6, ntyp = 2
/
ATOMIC_SPECIES
In 114.82 In.upf
Pt 195.08 Pt.upf
ATOMIC_POSITIONS crystal
In 0.970 0.970 0.783
In 0.030 0.030 0.217
Pt 0.354 0.354 0.536
Pt 0.677 0.677 0.875
Pt 0.323 0.323 0.125
Pt 0.646 0.646 0.464
CELL_PARAMETERS angstrom
1.490 5.221 0.017
-1.490 5.221 0.017
0.000 2.280 6.636

***

! In5Pt | Alexandria via LeMat-Bulk | PBE | relaxed; values from VASP
! Space-group type: No. 191
! ΔE_f (meV per atom): 382
! Electronic total energy (eV/cell): -17.4
&SYSTEM
  ibrav = 0, nat = 6, ntyp = 2
/
ATOMIC_SPECIES
In 114.82 In.upf
Pt 195.08 Pt.upf
ATOMIC_POSITIONS crystal
In 0.000 0.500 0.500
In 0.333 0.667 0.000
In 0.500 0.000 0.500
In 0.500 0.500 0.500
In 0.667 0.333 0.000
Pt 0.000 0.000 0.000
CELL_PARAMETERS angstrom
0.219 3.060 -4.758
-2.085 2.285 4.742
5.374 1.881 1.457

***

! In3Pt5 | Alexandria via LeMat-Bulk | PBE | relaxed; values from VASP
! Space-group type: No. 1
! ΔE_f (meV per atom): -332
! Electronic total energy (eV/cell): -82.1
&SYSTEM
  ibrav = 0, nat = 16, ntyp = 2
/
ATOMIC_SPECIES
Pt 195.08 Pt.upf
In 114.82 In.upf
ATOMIC_POSITIONS crystal
Pt 0.260 0.957 0.856
Pt 0.183 0.979 0.149
Pt 0.124 0.629 0.365
Pt 0.263 0.601 0.880
Pt 0.349 0.210 0.493
Pt 0.485 0.640 0.379
Pt 0.745 0.572 0.215
Pt 0.743 0.250 0.619
Pt 0.725 0.891 0.734
Pt 0.837 0.011 0.127
In 0.101 0.333 0.519
In 0.268 0.340 0.026
In 0.540 0.021 0.260
In 0.814 0.301 0.989
In 0.651 0.516 0.838
In 0.918 0.755 0.557
CELL_PARAMETERS angstrom
-1.288 7.071 3.608
-3.689 -4.948 -3.897
3.330 -4.339 7.543

***

! In2Pt | Alexandria via LeMat-Bulk | PBE | relaxed; values from VASP
! Space-group type: No. 227
! ΔE_f (meV per atom): 490
! Electronic total energy (eV/cell): -20.1
&SYSTEM
  ibrav = 0, nat = 6, ntyp = 2
/
ATOMIC_SPECIES
In 114.82 In.upf
Pt 195.08 Pt.upf
ATOMIC_POSITIONS crystal
In 0.125 0.625 0.125
In 0.125 0.125 0.625
In 0.625 0.125 0.125
In 0.125 0.125 0.125
Pt 0.750 0.750 0.750
Pt 0.500 0.500 0.500
CELL_PARAMETERS angstrom
0.000 4.052 4.052
4.052 0.000 4.052
4.052 4.052 0.000

***

! In3Pt | Alexandria via LeMat-Bulk | PBE | relaxed; values from VASP
! Space-group type: No. 44
! ΔE_f (meV per atom): -237
! Electronic total energy (eV/cell): -15.2
&SYSTEM
  ibrav = 0, nat = 4, ntyp = 2
/
ATOMIC_SPECIES
In 114.82 In.upf
Pt 195.08 Pt.upf
ATOMIC_POSITIONS crystal
In 0.927 0.942 0.985
In 0.191 0.750 0.441
In 0.543 0.558 0.985
Pt 0.505 0.250 0.255
CELL_PARAMETERS angstrom
-4.113 -0.545 3.241
2.826 -2.303 3.798
0.130 4.749 -2.268